A plane-wave DFT calculation with PBE with a Hubbard U was carried out for an optimized crystal structure of BRh2WF.

```
BRh2WF
1.0
4.818 0.000 0.000
0.000 3.926 0.000
0.000 0.000 4.818
B Rh W F
1 2 1 1
Direct
0.500 0.500 0.500
0.000 0.000 0.500
0.500 0.000 0.000
0.000 0.000 0.000
0.000 0.500 0.000
```

Calculated values
Total magnetic moment   0.78 μB/cell
Calculated total energy   -4.81 eV per atom